Cs5Ge2Se5 | Alexandria | GGA-PBE | relaxed; volume = 472.31 Å³/f.u.; space group = C2/m (12); energy relative to the elements, uncorrected = -10.14 eV per formula unit
1.0
7.929 -2.444 0.000
7.929 2.444 0.000
-2.028 0.000 12.184
Cs Ge Se
5 2 5
Direct
0.000 0.000 0.000 Cs
0.148 0.148 0.587 Cs
0.281 0.281 0.872 Cs
0.719 0.719 0.128 Cs
0.852 0.852 0.413 Cs
0.467 0.467 0.700 Ge
0.533 0.533 0.300 Ge
0.108 0.108 0.279 Se
0.395 0.395 0.167 Se
0.500 0.500 0.500 Se
0.605 0.605 0.833 Se
0.892 0.892 0.721 Se

---

LaCrPt2 | Alexandria | GGA-PBE | relaxed; volume = 77.84 Å³/f.u.; E above lowest polymorph = 386 meV/atom; space group = F-43m (216); energy relative to the elements = -274 meV/atom
1.0
6.778 0.000 0.000
0.000 6.778 0.000
0.000 0.000 6.778
La Cr Pt
4 4 8
Direct
0.000 0.000 0.000 La
0.000 0.500 0.500 La
0.500 0.000 0.500 La
0.500 0.500 0.000 La
0.250 0.250 0.750 Cr
0.250 0.750 0.250 Cr
0.750 0.250 0.250 Cr
0.750 0.750 0.750 Cr
0.000 0.000 0.500 Pt
0.000 0.500 0.000 Pt
0.250 0.250 0.250 Pt
0.250 0.750 0.750 Pt
0.500 0.000 0.000 Pt
0.500 0.500 0.500 Pt
0.750 0.250 0.750 Pt
0.750 0.750 0.250 Pt